Entry from the Alexandria database: a relaxed Ba2Li2Pt crystal (GGA-PBE).

Results
total moment: 0.0 μB/cell
total DFT energy (no corrections): -30.4 eV per cell
energy of formation: -0.295 eV per atom

Unit cell a=5.121 b=5.186 c=11.318 alpha=90.00 beta=90.00 gamma=90.00
Space group Immm (No. 71)
Asymmetric unit:
Ba: 0.000 0.000 0.174 x4
Li: 0.227 0.000 0.500 x4
Pt: 0.000 0.500 0.500 x2

---

Entry from the Alexandria database: a relaxed ScHg2Br crystal (GGA-PBE).

Results
total moment: 0.6 μB/cell
total DFT energy (no corrections): -9.7 eV per cell
E_form (uncorrected): -25 kJ/mol of atoms

Unit cell a=3.699 b=3.699 c=7.303 alpha=90.00 beta=90.00 gamma=90.00
Space group P4/mmm (No. 123)
Asymmetric unit:
Sc: 0.000 0.000 0.000 x1
Hg: 0.500 0.500 0.224 x2
Br: 0.000 0.000 0.500 x1